VASP calculation (PBE) on a relaxed Dy3Ho2Sc2 crystal.

Properties
**Volume**: 418.29 Å³/cell
**VASP energy**: -0.179 hartree per atom
**D(E_F)**: 22.1 states/eV/cell

abc: 6.2874 10.4250 6.3865
angles: 90.00 92.26 90.00
Last column: nearest neighbours and their distance in Å.
Sites, in units of the cell vectors:
Dy  0.0000  0.0000  0.0000  4 Ho 3.09-3.27, 2 Sc 3.21
Dy  0.0000  0.5000  0.5000  4 Ho 3.09-3.27, 2 Sc 3.21
Dy  0.2554  0.0585  0.5239  3 Sc 3.32-3.57, 4 Dy 3.33-3.70, 4 Ho 3.51-3.68
Dy  0.2554  0.4415  0.0239  3 Sc 3.32-3.57, 4 Dy 3.33-3.70, 4 Ho 3.51-3.68
Dy  0.7446  0.5585  0.9761  3 Sc 3.32-3.57, 4 Dy 3.33-3.70, 4 Ho 3.51-3.68
Dy  0.7446  0.9415  0.4761  3 Sc 3.32-3.57, 4 Dy 3.33-3.70, 4 Ho 3.51-3.68
Ho  0.1417  0.7422  0.7484  2 Dy 3.09-3.27, 2 Sc 3.13-3.32, 2 Ho 3.20
Ho  0.1417  0.7578  0.2484  2 Dy 3.09-3.27, 2 Sc 3.13-3.32, 2 Ho 3.20
Ho  0.8583  0.2422  0.7516  2 Dy 3.09-3.27, 2 Sc 3.13-3.32, 2 Ho 3.20
Ho  0.8583  0.2578  0.2516  2 Dy 3.09-3.27, 2 Sc 3.13-3.32, 2 Ho 3.20
Sc  0.4494  0.1457  0.0251  1 Sc 3.12, 2 Ho 3.13-3.32, 2 Dy 3.21-3.32
Sc  0.4494  0.3543  0.5251  1 Sc 3.12, 2 Ho 3.13-3.32, 2 Dy 3.21-3.32
Sc  0.5506  0.6457  0.4749  1 Sc 3.12, 2 Ho 3.13-3.32, 2 Dy 3.21-3.32
Sc  0.5506  0.8543  0.9749  1 Sc 3.12, 2 Ho 3.13-3.32, 2 Dy 3.21-3.32

=====

VASP calculation (PBE) on a relaxed ZrW crystal.

Properties
**Volume**: 114.05 Å³/cell
**VASP energy**: -0.378 hartree per atom
**D(E_F)**: 6.0 states/eV/cell

abc: 2.8736 2.8736 15.9489
angles: 90.00 90.00 120.00
Last column: nearest neighbours and their distance in Å.
Sites, in units of the cell vectors:
Zr  0.0000  0.0000  0.0000  6 Zr 2.87, 6 W 3.13
Zr  0.3333  0.6667  0.6667  6 Zr 2.87, 6 W 3.13
Zr  0.6667  0.3333  0.3333  6 Zr 2.87, 6 W 3.13
W  0.0000  0.0000  0.5000  6 W 2.87, 6 Zr 3.13
W  0.3333  0.6667  0.1667  6 W 2.87, 6 Zr 3.13
W  0.6667  0.3333  0.8333  6 W 2.87, 6 Zr 3.13

=====

VASP calculation (PBE) on a relaxed Zn2Ni9Os crystal.

Properties
**Volume**: 138.33 Å³/cell
**VASP energy**: -0.203 hartree per atom
**D(E_F)**: 13.7 states/eV/cell

abc: 3.5871 3.5871 10.7505
angles: 90.00 90.00 90.00
Last column: nearest neighbours and their distance in Å.
Sites, in units of the cell vectors:
Zn  0.0000  0.0000  0.1641  12 Ni 2.52-2.57
Zn  0.0000  0.0000  0.8359  12 Ni 2.52-2.57
Ni  0.0000  0.5000  0.0000  4 Zn 2.52, 8 Ni 2.53-2.54
Ni  0.0000  0.5000  0.3352  8 Ni 2.52-2.55, 2 Os 2.52, 2 Zn 2.57
Ni  0.0000  0.5000  0.6648  8 Ni 2.52-2.55, 2 Os 2.52, 2 Zn 2.57
Ni  0.5000  0.0000  0.0000  4 Zn 2.52, 8 Ni 2.53-2.54
Ni  0.5000  0.0000  0.3352  8 Ni 2.52-2.55, 2 Os 2.52, 2 Zn 2.57
Ni  0.5000  0.0000  0.6648  8 Ni 2.52-2.55, 2 Os 2.52, 2 Zn 2.57
Ni  0.5000  0.5000  0.1660  8 Ni 2.53-2.55, 4 Zn 2.54
Ni  0.5000  0.5000  0.5000  8 Ni 2.52, 4 Os 2.54
Ni  0.5000  0.5000  0.8340  8 Ni 2.53-2.55, 4 Zn 2.54
Os  0.0000  0.0000  0.5000  12 Ni 2.52-2.54

=====

VASP calculation (PBE) on a relaxed Nd2HoTm2 crystal.

Properties
**Volume**: 321.89 Å³/cell
**VASP energy**: -0.168 hartree per atom
**D(E_F)**: 13.0 states/eV/cell

abc: 6.1818 3.5701 14.5853
angles: 90.00 90.05 90.00
Last column: nearest neighbours and their distance in Å.
Sites, in units of the cell vectors:
Nd  0.1679  0.0000  0.3933  3 Tm 3.56-3.57, 9 Nd 3.57-3.74
Nd  0.3321  0.5000  0.6067  3 Tm 3.56-3.57, 9 Nd 3.57-3.74
Nd  0.6679  0.5000  0.3933  3 Tm 3.56-3.57, 9 Nd 3.57-3.74
Nd  0.8321  0.0000  0.6067  3 Tm 3.56-3.57, 9 Nd 3.57-3.74
Ho  0.0000  0.5000  0.0000  6 Tm 3.50, 6 Ho 3.57
Ho  0.5000  0.0000  0.0000  6 Tm 3.50, 6 Ho 3.57
Tm  0.1663  0.0000  0.8061  3 Ho 3.50, 3 Nd 3.56-3.57, 6 Tm 3.57
Tm  0.3337  0.5000  0.1939  3 Ho 3.50, 3 Nd 3.56-3.57, 6 Tm 3.57
Tm  0.6663  0.5000  0.8061  3 Ho 3.50, 3 Nd 3.56-3.57, 6 Tm 3.57
Tm  0.8337  0.0000  0.1939  3 Ho 3.50, 3 Nd 3.56-3.57, 6 Tm 3.57

=====

VASP calculation (PBE) on a relaxed ZrCoOs2 crystal.

Properties
**Volume**: 270.91 Å³/cell
**VASP energy**: -0.334 hartree per atom
**D(E_F)**: 19.2 states/eV/cell

abc: 3.8903 3.8903 17.9006
angles: 90.00 90.00 90.00
Last column: nearest neighbours and their distance in Å.
Sites, in units of the cell vectors:
Zr  0.0000  0.0000  0.0000  4 Os 2.72, 4 Co 2.75
Zr  0.0000  0.5000  0.2500  4 Os 2.72, 4 Co 2.75
Zr  0.5000  0.0000  0.7500  4 Os 2.72, 4 Co 2.75
Zr  0.5000  0.5000  0.5000  4 Os 2.72, 4 Co 2.75
Co  0.0000  0.0000  0.5000  4 Os 2.55, 4 Zr 2.75
Co  0.0000  0.5000  0.7500  4 Os 2.55, 4 Zr 2.75
Co  0.5000  0.0000  0.2500  4 Os 2.55, 4 Zr 2.75
Co  0.5000  0.5000  0.0000  4 Os 2.55, 4 Zr 2.75
Os  0.1887  0.2500  0.6250  2 Os 2.44, 2 Co 2.55, 2 Zr 2.72
Os  0.2500  0.6887  0.8750  2 Os 2.44, 2 Co 2.55, 2 Zr 2.72
Os  0.2500  0.8113  0.3750  2 Os 2.44, 2 Co 2.55, 2 Zr 2.72
Os  0.3113  0.2500  0.1250  2 Os 2.44, 2 Co 2.55, 2 Zr 2.72
Os  0.6887  0.7500  0.1250  2 Os 2.44, 2 Co 2.55, 2 Zr 2.72
Os  0.7500  0.1887  0.3750  2 Os 2.44, 2 Co 2.55, 2 Zr 2.72
Os  0.7500  0.3113  0.8750  2 Os 2.44, 2 Co 2.55, 2 Zr 2.72
Os  0.8113  0.7500  0.6250  2 Os 2.44, 2 Co 2.55, 2 Zr 2.72

=====

VASP calculation (PBE) on a relaxed NaTbZnGa crystal.

Properties
**Volume**: 351.30 Å³/cell
**VASP energy**: -0.102 hartree per atom
**D(E_F)**: 7.9 states/eV/cell

abc: 7.0560 7.0560 7.0560
angles: 90.00 90.00 90.00
Last column: nearest neighbours and their distance in Å.
Sites, in units of the cell vectors:
Na  0.0000  0.0000  0.0000  4 Zn 3.06, 4 Ga 3.06
Na  0.0000  0.5000  0.5000  4 Zn 3.06, 4 Ga 3.06
Na  0.5000  0.0000  0.5000  4 Zn 3.06, 4 Ga 3.06
Na  0.5000  0.5000  0.0000  4 Zn 3.06, 4 Ga 3.06
Tb  0.0000  0.0000  0.5000  4 Ga 3.06, 4 Zn 3.06
Tb  0.0000  0.5000  0.0000  4 Ga 3.06, 4 Zn 3.06
Tb  0.5000  0.0000  0.0000  4 Ga 3.06, 4 Zn 3.06
Tb  0.5000  0.5000  0.5000  4 Ga 3.06, 4 Zn 3.06
Zn  0.2500  0.2500  0.2500  4 Tb 3.06, 4 Na 3.06
Zn  0.2500  0.7500  0.7500  4 Tb 3.06, 4 Na 3.06
Zn  0.7500  0.2500  0.7500  4 Tb 3.06, 4 Na 3.06
Zn  0.7500  0.7500  0.2500  4 Tb 3.06, 4 Na 3.06
Ga  0.2500  0.2500  0.7500  4 Tb 3.06, 4 Na 3.06
Ga  0.2500  0.7500  0.2500  4 Tb 3.06, 4 Na 3.06
Ga  0.7500  0.2500  0.2500  4 Tb 3.06, 4 Na 3.06
Ga  0.7500  0.7500  0.7500  4 Tb 3.06, 4 Na 3.06

=====

VASP calculation (PBE) on a relaxed PuNpUIr crystal.

Properties
**Volume**: 301.80 Å³/cell
**VASP energy**: -0.442 hartree per atom
**D(E_F)**: 29.6 states/eV/cell

abc: 6.7077 6.7077 6.7077
angles: 90.00 90.00 90.00
Last column: nearest neighbours and their distance in Å.
Sites, in units of the cell vectors:
Pu  0.0000  0.0000  0.0000  4 Np 2.90, 4 Ir 2.90
Pu  0.0000  0.5000  0.5000  4 Np 2.90, 4 Ir 2.90
Pu  0.5000  0.0000  0.5000  4 Np 2.90, 4 Ir 2.90
Pu  0.5000  0.5000  0.0000  4 Np 2.90, 4 Ir 2.90
Np  0.2500  0.2500  0.2500  4 U 2.90, 4 Pu 2.90
Np  0.2500  0.7500  0.7500  4 U 2.90, 4 Pu 2.90
Np  0.7500  0.2500  0.7500  4 U 2.90, 4 Pu 2.90
Np  0.7500  0.7500  0.2500  4 U 2.90, 4 Pu 2.90
U  0.0000  0.0000  0.5000  4 Np 2.90, 4 Ir 2.90
U  0.0000  0.5000  0.0000  4 Np 2.90, 4 Ir 2.90
U  0.5000  0.0000  0.0000  4 Np 2.90, 4 Ir 2.90
U  0.5000  0.5000  0.5000  4 Np 2.90, 4 Ir 2.90
Ir  0.2500  0.2500  0.7500  4 U 2.90, 4 Pu 2.90
Ir  0.2500  0.7500  0.2500  4 U 2.90, 4 Pu 2.90
Ir  0.7500  0.2500  0.2500  4 U 2.90, 4 Pu 2.90
Ir  0.7500  0.7500  0.7500  4 U 2.90, 4 Pu 2.90

=====

VASP calculation (PBE) on a relaxed Tb3YAg crystal.

Properties
**Volume**: 302.57 Å³/cell
**VASP energy**: -0.171 hartree per atom
**D(E_F)**: 10.3 states/eV/cell

abc: 6.7239 6.7239 7.7497
angles: 107.63 107.63 68.08
Last column: nearest neighbours and their distance in Å.
Sites, in units of the cell vectors:
Tb  0.0592  0.0592  0.2409  2 Ag 3.27-3.31, 7 Tb 3.45-3.51
Tb  0.0856  0.5867  0.3485  2 Ag 3.14, 3 Y 3.45-3.50, 3 Tb 3.45-3.51
Tb  0.4133  0.9144  0.6515  2 Ag 3.14, 3 Y 3.45-3.50, 3 Tb 3.45-3.51
Tb  0.5867  0.0856  0.3485  2 Ag 3.14, 3 Y 3.45-3.50, 3 Tb 3.45-3.51
Tb  0.9144  0.4133  0.6515  2 Ag 3.14, 3 Y 3.45-3.50, 3 Tb 3.45-3.51
Tb  0.9408  0.9408  0.7591  2 Ag 3.27-3.31, 7 Tb 3.45-3.51
Y  0.4413  0.4413  0.7577  2 Ag 3.25-3.31, 6 Tb 3.45-3.50, 1 Y 3.50
Y  0.5587  0.5587  0.2423  2 Ag 3.25-3.31, 6 Tb 3.45-3.50, 1 Y 3.50
Ag  0.2510  0.2510  0.0002  6 Tb 3.14-3.31, 2 Y 3.25-3.31
Ag  0.7490  0.7490  0.9998  6 Tb 3.14-3.31, 2 Y 3.25-3.31

=====

VASP calculation (PBE) on a relaxed Pm3Er2In crystal.

Properties
**Volume**: 368.50 Å³/cell
**VASP energy**: -0.166 hartree per atom
**D(E_F)**: 15.0 states/eV/cell

abc: 4.9595 15.1690 4.8982
angles: 90.00 90.00 90.00
Last column: nearest neighbours and their distance in Å.
Sites, in units of the cell vectors:
Pm  0.0000  0.0000  0.0000  4 Er 3.48, 4 In 3.49, 4 Pm 3.57
Pm  0.0000  0.3307  0.0000  4 Pm 3.48-3.57, 6 Er 3.49-3.54, 2 In 3.55
Pm  0.0000  0.6693  0.0000  4 Pm 3.48-3.57, 6 Er 3.49-3.54, 2 In 3.55
Pm  0.5000  0.1693  0.0000  4 Pm 3.48-3.57, 6 Er 3.49-3.54, 2 In 3.55
Pm  0.5000  0.5000  0.0000  4 Er 3.48, 4 In 3.49, 4 Pm 3.57
Pm  0.5000  0.8307  0.0000  4 Pm 3.48-3.57, 6 Er 3.49-3.54, 2 In 3.55
Er  0.0000  0.1626  0.5000  8 Pm 3.48-3.54, 2 In 3.50, 2 Er 3.63
Er  0.0000  0.8374  0.5000  8 Pm 3.48-3.54, 2 In 3.50, 2 Er 3.63
Er  0.5000  0.3374  0.5000  8 Pm 3.48-3.54, 2 In 3.50, 2 Er 3.63
Er  0.5000  0.6626  0.5000  8 Pm 3.48-3.54, 2 In 3.50, 2 Er 3.63
In  0.0000  0.5000  0.5000  8 Pm 3.49-3.55, 4 Er 3.50
In  0.5000  0.0000  0.5000  8 Pm 3.49-3.55, 4 Er 3.50

=====

VASP calculation (PBE) on a relaxed CaTi2Ga2 crystal.

Properties
**Volume**: 190.08 Å³/cell
**VASP energy**: -0.185 hartree per atom
**D(E_F)**: 7.0 states/eV/cell

abc: 8.0804 8.0804 2.9111
angles: 90.00 90.00 90.00
Last column: nearest neighbours and their distance in Å.
Sites, in units of the cell vectors:
Ca  0.0000  0.0000  0.0000  2 Ca 2.91, 4 Ti 3.24
Ca  0.5000  0.5000  0.0000  2 Ca 2.91, 4 Ti 3.24
Ti  0.1154  0.3846  0.0000  3 Ti 2.64-2.91, 6 Ga 2.78-2.83
Ti  0.3846  0.8846  0.0000  3 Ti 2.64-2.91, 6 Ga 2.78-2.83
Ti  0.6154  0.1154  0.0000  3 Ti 2.64-2.91, 6 Ga 2.78-2.83
Ti  0.8846  0.6154  0.0000  3 Ti 2.64-2.91, 6 Ga 2.78-2.83
Ga  0.1777  0.6777  0.5000  6 Ti 2.78-2.83, 2 Ga 2.91
Ga  0.3223  0.1777  0.5000  6 Ti 2.78-2.83, 2 Ga 2.91
Ga  0.6777  0.8223  0.5000  6 Ti 2.78-2.83, 2 Ga 2.91
Ga  0.8223  0.3223  0.5000  6 Ti 2.78-2.83, 2 Ga 2.91